Pr2CoSbO6: relaxed, PBE+U.

As for the total energy: -7.0964 eV/atom. Its density of states at the Fermi level is 2.23 states/eV/f.u. The total magnetization is 0.226 μB per atom.

The space group is P2_1/c (No. 14) and the conventional cell measures 5.634, 5.937 and 9.826 Å, with angles of 90.00, 124.01 and 90.00 degrees. Symmetry generates all atoms from Pr at (0.228, 0.064, 0.248), Co at (0.000, 0.000, 0.500), Sb at (0.500, 0.000, 0.000), O at (0.140, 0.198, 0.944), O at (0.244, 0.702, 0.940) and O at (0.362, 0.042, 0.750).